(1)
10
Lattice="2.971 1.715 5.136 -2.971 1.715 5.136 0.000 -3.430 5.136" Properties=species:S:1:pos:R:3 comment="Ca2PrUO6 (GGA-PBE, relaxed)" dft_energy_ev_per_fu=-81.97 density_g_cm3=5.9 pbc="T T T"
Ca 0.000 0.000 0.000
Ca 0.000 0.000 7.599
Pr 0.000 0.000 3.357
U 0.000 0.000 10.912
O -1.071 -1.945 6.808
O -1.655 0.042 9.493
O -1.149 1.900 6.808
O 0.791 -1.454 9.493
O 2.219 0.045 6.808
O 0.864 1.412 9.493

***

(2)
5
Lattice="4.789 0.000 0.000 0.000 4.789 0.000 0.000 0.000 5.533" Properties=species:S:1:pos:R:3 comment="LiVSe2Br (GGA-PBE, relaxed)" relative_energy_ev_per_atom=0.000 dft_energy_ev_per_fu=-22.28 density_g_cm3=3.9 pbc="T T T"
Li 0.000 0.000 0.000
V 2.394 2.394 2.767
Se 0.000 2.394 2.767
Se 2.394 0.000 2.767
Br 2.394 2.394 0.000

***

(3)
12
Lattice="3.696 -6.401 0.000 3.696 6.401 0.000 -2.463 0.000 6.962" Properties=species:S:1:pos:R:3 comment="La3SmY2As6 (GGA-PBE, relaxed)" dft_energy_ev_per_fu=-78.97 density_g_cm3=6.0 ef_mev_per_atom=-1554 pbc="T T T"
La 0.000 0.000 0.000
La 3.696 2.127 0.000
La 3.696 -2.127 0.000
Sm 2.464 0.000 3.481
Y 2.464 4.265 3.481
Y 2.464 -4.265 3.481
As 1.222 2.151 1.815
As -0.020 0.000 5.143
As 1.222 -2.151 1.815
As 3.706 2.151 5.147
As 4.948 0.000 1.819
As 3.706 -2.151 5.147

***

(4)
3
Lattice="3.606 0.000 0.000 0.000 1.579 5.708 0.000 -1.579 5.708" Properties=species:S:1:pos:R:3 comment="SrCoW (GGA-PBE, relaxed)" relative_energy_ev_per_atom=0.395 dft_energy_ev_per_fu=-19.68 density_g_cm3=8.4 ef_mev_per_atom=688 pbc="T T T"
Sr 0.000 0.000 0.000
Co 0.000 0.000 2.990
W 1.803 0.000 8.382

***

(5)
10
Lattice="0.000 7.034 2.845 5.249 0.000 2.845 5.249 7.034 0.000" Properties=species:S:1:pos:R:3 comment="Hf4Zn (GGA-PBE, relaxed)" relative_energy_ev_per_atom=0.116 dft_energy_ev_per_fu=-40.84 density_g_cm3=12.3 ef_mev_per_atom=49 pbc="T T T"
Hf 4.606 1.455 2.833
Hf 1.981 2.062 1.411
Hf 5.810 4.270 2.845
Hf 3.268 4.972 1.411
Hf 7.313 7.787 4.267
Hf 4.688 9.798 2.845
Hf 5.892 12.614 2.833
Hf 8.434 13.315 4.267
Zn 5.249 7.034 2.459
Zn 7.874 10.551 3.882

***

(6)
4
Lattice="1.849 1.068 6.151 -1.849 1.068 6.151 0.000 -2.135 6.151" Properties=species:S:1:pos:R:3 comment="U2PC (GGA-PBE, relaxed)" relative_energy_ev_per_atom=0.000 dft_energy_ev_per_fu=-39.17 density_g_cm3=11.8 ef_mev_per_atom=-490 pbc="T T T"
U 0.000 0.000 4.391
U 0.000 0.000 14.063
P 0.000 0.000 0.000
C 0.000 0.000 9.227

***

(7)
24
Lattice="-6.370 6.370 3.577 6.370 -6.370 3.577 6.370 6.370 -3.577" Properties=species:S:1:pos:R:3 comment="PmIn9Pd2 (GGA-PBE, relaxed)" dft_energy_ev_per_fu=-42.11 density_g_cm3=8.0 ef_mev_per_atom=-194 pbc="T T T"
Pm 6.370 3.185 0.894
Pm 0.000 3.185 2.683
In 4.832 -0.893 1.193
In 7.907 -0.893 1.193
In 6.370 -3.185 2.683
In 2.292 1.647 0.595
In 10.448 1.647 0.595
In 4.832 5.477 -1.193
In 1.538 -0.893 2.384
In 2.292 4.722 0.595
In 4.078 -1.647 4.172
In 2.292 8.017 -0.595
In 4.078 1.647 2.982
In 4.832 7.263 1.193
In 1.538 0.893 4.770
In -4.078 4.722 2.982
In 4.078 4.722 2.982
In 0.000 9.554 0.894
In -1.538 7.263 2.384
In 1.538 7.263 2.384
Pd 0.000 0.000 0.000
Pd 3.185 3.185 -1.788
Pd 3.185 -3.185 1.788
Pd 0.000 6.370 0.000